Entry 1:
DFT (PBE-GGA) results for a relaxed structure of CeNb4Ge2.

POSCAR file:
```
CeNb4Ge2
1.0
4.577 0.000 0.000
0.000 4.838 -1.066
0.000 -1.050 6.747
Nb Ce Ge
4 1 2
Cartesian
0.000 2.983 2.028
2.288 0.474 2.150
2.288 3.314 3.531
0.000 0.805 3.653
0.000 0.000 0.000
2.288 1.093 4.962
2.288 2.695 0.719
```

Values from the calculation:
The energy of formation from the pure elements is -67.6 kJ/mol of formula units. The total energy comes out at -8.021 eV per atom.

---

Entry 2:
DFT (PBE-GGA) results for a relaxed structure of As3SeN.

POSCAR file:
```
As3SeN
1.0
5.074 0.000 0.000
0.000 5.074 0.000
0.000 0.000 5.074
As Se N
3 1 1
Cartesian
2.537 0.000 0.000
0.000 2.537 0.000
0.000 0.000 2.537
0.000 0.000 0.000
2.537 2.537 2.537
```

Values from the calculation:
The total energy comes out at -3.250 eV per atom. The calculation puts the energy relative to the elements, uncorrected at 1.9016 eV per atom. For the polymorph energy (0 for the lowest one), the calculation gives 24.390 kcal/mol of atoms.

---

Entry 3:
DFT (PBE-GGA) results for a relaxed structure of AcBiCl.

POSCAR file:
```
AcBiCl
1.0
3.916 0.000 0.000
0.000 3.916 0.000
-1.958 -1.958 6.323
Ac Bi Cl
1 1 1
Cartesian
1.958 1.958 2.451
0.000 0.000 0.069
0.000 0.000 3.803
```

Values from the calculation:
The total energy comes out at -4.438 eV per atom. The calculation puts the energy relative to the elements, uncorrected at -1.1594 eV per atom. For the polymorph energy (0 for the lowest one), the calculation gives 5.586 kcal/mol of atoms.

---

What is the formula in the first record? CeNb4Ge2